Here is an optimized crystal structure of SrWO2 from the Alexandria database. Energies are from PBE with a Hubbard U.

```
SrWO2
1.0
4.756 0.000 0.000
0.000 4.756 0.000
2.378 2.378 6.287
Sr O W
2 4 2
Cartesian
2.378 2.378 0.000
2.378 4.756 3.143
4.086 1.189 1.572
0.670 3.567 1.572
3.567 3.048 4.715
5.945 6.464 4.715
0.000 0.000 0.000
4.756 2.378 3.143
```

Summary:
DOS(E_F): 0.08 states/eV/atom
energy: -6.0618 eV/atom